A plane-wave DFT calculation with PBE was carried out for a relaxed structure of Pr4NdNi4.

Calculated values
DOS(E_F): 0.87 states/eV per atom
VASP energy: -5.380 eV per atom
formation energy from the elements: -136.2 kJ/mol of formula units

a b c (Å): 8.668 8.668 6.013
angles (deg): 90.00 90.00 90.00
Space group P4_2/n (No. 86, origin choice 2)
Asymmetric unit:
Pr: 0.058 0.665 0.151 [8 per cell]
Nd: 0.250 0.250 0.250 [2 per cell]
Ni: 0.024 0.617 0.628 [8 per cell]

A plane-wave DFT calculation with PBE was carried out for a relaxed structure of Pr4Nd3Ni2.

Calculated values
DOS(E_F): 1.38 states/eV per atom
VASP energy: -5.097 eV per atom
formation energy from the elements: -85.4 kJ/mol of formula units

a b c (Å): 17.218 3.779 9.289
angles (deg): 90.00 114.29 90.00
Space group C2/m (No. 12)
Asymmetric unit:
Pr: 0.134 0.000 0.389 [4 per cell]
Pr: 0.229 0.500 0.153 [4 per cell]
Nd: 0.000 0.500 0.000 [2 per cell]
Nd: 0.071 0.500 0.690 [4 per cell]
Ni: 0.115 0.000 0.942 [4 per cell]

A plane-wave DFT calculation with PBE was carried out for a relaxed structure of PrNdNi.

Calculated values
DOS(E_F): 1.38 states/eV per atom
polymorph energy (0 for the lowest one): 90 meV per atom
VASP energy: -5.222 eV per atom
formation energy from the elements: -32.4 kJ/mol of formula units

a b c (Å): 3.540 3.540 12.971
angles (deg): 90.00 90.00 90.00
Space group I4mm (No. 107)
Asymmetric unit:
Pr: 0.000 0.000 0.000 [2 per cell]
Nd: 0.000 0.000 0.743 [2 per cell]
Ni: 0.000 0.000 0.368 [2 per cell]

A plane-wave DFT calculation with PBE was carried out for a relaxed structure of Pr3NdNi.

Calculated values
DOS(E_F): 1.16 states/eV per atom
polymorph energy (0 for the lowest one): 69 meV per atom
VASP energy: -5.019 eV per atom
formation energy from the elements: -19.8 kJ/mol of formula units

a b c (Å): 8.373 7.383 10.318
angles (deg): 90.00 108.07 90.00
Space group P2_1/c (No. 14)
Asymmetric unit:
Pr: 0.059 0.213 0.019 [4 per cell]
Pr: 0.279 0.501 0.877 [4 per cell]
Pr: 0.425 0.634 0.616 [4 per cell]
Nd: 0.186 0.530 0.263 [4 per cell]
Ni: 0.424 0.242 0.598 [4 per cell]

A plane-wave DFT calculation with PBE was carried out for a relaxed structure of Pr7Nd2Ni2.

Calculated values
DOS(E_F): 1.21 states/eV per atom
VASP energy: -4.975 eV per atom
formation energy from the elements: -16.7 kJ/mol of formula units

a b c (Å): 11.104 10.061 6.657
angles (deg): 90.00 108.34 90.00
Space group C2/m (No. 12)
Asymmetric unit:
Pr: 0.000 0.000 0.000 [2 per cell]
Pr: 0.131 0.500 0.724 [4 per cell]
Pr: 0.173 0.315 0.206 [8 per cell]
Nd: 0.000 0.173 0.500 [4 per cell]
Ni: 0.178 0.000 0.446 [4 per cell]

A plane-wave DFT calculation with PBE was carried out for a relaxed structure of Pr2NdNi.

Calculated values
DOS(E_F): 1.16 states/eV per atom
polymorph energy (0 for the lowest one): 120 meV per atom
VASP energy: -5.067 eV per atom
formation energy from the elements: -15.3 kJ/mol of formula units

a b c (Å): 3.9087 3.9087 28.1575
angles (deg): 90.00 90.00 120.00
Space group R3m (No. 160, hexagonal axes)
Asymmetric unit:
Pr: 0.0000 0.0000 0.0000 [3 per cell]
Pr: 0.0000 0.0000 0.2135 [3 per cell]
Nd: 0.0000 0.0000 0.7731 [3 per cell]
Ni: 0.0000 0.0000 0.6071 [3 per cell]

A plane-wave DFT calculation with PBE was carried out for a relaxed structure of PrNdNi.

Calculated values
DOS(E_F): 1.15 states/eV per atom
polymorph energy (0 for the lowest one): 0 meV per atom
VASP energy: -5.312 eV per atom
formation energy from the elements: -58.5 kJ/mol of formula units

a b c (Å): 12.654 3.831 8.329
angles (deg): 90.00 126.84 90.00
Space group C2/m (No. 12)
Asymmetric unit:
Pr: 0.088 0.000 0.387 [4 per cell]
Nd: 0.170 0.500 0.075 [4 per cell]
Ni: 0.124 0.500 0.681 [4 per cell]

A plane-wave DFT calculation with PBE was carried out for a relaxed structure of PrNdNiRu.

Calculated values
DOS(E_F): 1.05 states/eV per atom
polymorph energy (0 for the lowest one): 74 meV per atom
VASP energy: -6.299 eV per atom
formation energy from the elements: -57.3 kJ/mol of formula units

a b c (Å): 7.049 7.049 7.049
angles (deg): 90.00 90.00 90.00
Space group F-43m (No. 216)
Asymmetric unit:
Pr: 0.000 0.000 0.000 [4 per cell]
Nd: 0.000 0.000 0.500 [4 per cell]
Ni: 0.250 0.250 0.250 [4 per cell]
Ru: 0.250 0.250 0.750 [4 per cell]